[1]
TaRe2Cl: PBEsol geometry, SCAN.

a = 3.822 Å, b = 3.822 Å, c = 5.008 Å
α = 112.43°, β = 112.43°, γ = 90.00°
Element x y z (fractional)
Re  0.000  0.000  0.000
Re  0.750  0.250  0.500
Cl  0.250  0.750  0.500
Ta  0.500  0.500  0.000

Computed properties:
Total DFT energy (no corrections)   -53.01 eV per atom
Raw formation energy   1.176 eV per atom

=====

[2]
TaRe2Cl: PBEsol geometry, SCAN.

a = 2.735 Å, b = 4.956 Å, c = 5.336 Å
α = 117.67°, β = 90.00°, γ = 90.00°
Element x y z (fractional)
Ta  0.500  0.000  0.000
Cl  0.500  0.500  0.000
Re  0.000  0.000  0.500
Re  0.000  0.500  0.500

Computed properties:
Total DFT energy (no corrections)   -53.20 eV per atom
Raw formation energy   0.987 eV per atom

=====

[3]
ReTc2Cl: PBEsol geometry, SCAN.

a = 2.836 Å, b = 4.479 Å, c = 4.479 Å
α = 90.00°, β = 90.00°, γ = 90.00°
Element x y z (fractional)
Cl  0.500  0.500  0.500
Tc  0.000  0.000  0.500
Tc  0.000  0.500  0.000
Re  0.500  0.000  0.000

Computed properties:
Total DFT energy (no corrections)   -36.44 eV per atom
Raw formation energy   0.860 eV per atom

=====

[4]
ReTc2Cl: PBEsol geometry, SCAN.

a = 2.834 Å, b = 4.429 Å, c = 4.501 Å
α = 90.00°, β = 90.00°, γ = 90.00°
Element x y z (fractional)
Tc  0.500  0.000  0.500
Re  0.000  0.500  0.500
Cl  0.500  0.500  0.000
Tc  0.000  0.000  0.000

Computed properties:
Total DFT energy (no corrections)   -36.31 eV per atom
Raw formation energy   0.987 eV per atom

=====

[5]
ReTc2Cl: PBEsol geometry, SCAN.

a = 3.691 Å, b = 3.691 Å, c = 4.964 Å
α = 111.82°, β = 111.82°, γ = 90.00°
Element x y z (fractional)
Cl  0.500  0.500  0.000
Re  0.250  0.750  0.500
Tc  0.750  0.250  0.500
Tc  0.000  0.000  0.000

Computed properties:
Total DFT energy (no corrections)   -36.07 eV per atom
Raw formation energy   1.232 eV per atom

=====

[6]
Re2TcTeCl: PBEsol geometry, SCAN.

a = 4.843 Å, b = 4.843 Å, c = 5.038 Å
α = 90.00°, β = 90.00°, γ = 90.00°
Element x y z (fractional)
Cl  0.000  0.000  0.500
Tc  0.500  0.500  0.500
Re  0.500  0.000  0.000
Te  0.000  0.000  0.000
Re  0.000  0.500  0.000

Computed properties:
Total DFT energy (no corrections)   -41.99 eV per atom
Raw formation energy   2.502 eV per atom

=====

The lowest raw formation energy belongs to which entry?
number 3

=====

Which value of total DFT energy (no corrections) does entry 5 give?
-36.07 eV per atom

=====

Look up the raw formation energy of the sixth one.
2.502 eV per atom

=====

Which of these has the highest raw formation energy?
Re2TcTeCl